# 1
{"formula": "Pr12NdY3", "functional": "PBE", "state": "optimized geometry", "space_group": "P4/mmm", "energy_ev_per_atom": -5.085, "formation_energy_ev_per_atom": 0.010, "lattice": [[5.214, 0.000, 0.000], [0.000, 5.214, 0.000], [0.000, 0.000, 20.816]], "species": ["Pr", "Pr", "Pr", "Pr", "Pr", "Pr", "Pr", "Pr", "Pr", "Pr", "Pr", "Pr", "Nd", "Y", "Y", "Y"], "frac_coords": [[0.500, 0.500, 0.000], [0.500, 0.500, 0.251], [0.500, 0.500, 0.500], [0.500, 0.500, 0.749], [0.500, 0.000, 0.126], [0.500, 0.000, 0.375], [0.500, 0.000, 0.625], [0.500, 0.000, 0.874], [0.000, 0.500, 0.126], [0.000, 0.500, 0.375], [0.000, 0.500, 0.625], [0.000, 0.500, 0.874], [0.000, 0.000, 0.000], [0.000, 0.000, 0.251], [0.000, 0.000, 0.500], [0.000, 0.000, 0.749]]}

***

# 2
{"formula": "BaCdBi2Rh", "functional": "PBE", "state": "optimized geometry", "space_group": "P4/mmm", "energy_ev_per_atom": -3.851, "formation_energy_ev_per_atom": -0.260, "lattice": [[5.459, 0.000, 0.000], [0.000, 5.459, 0.000], [0.000, 0.000, 5.262]], "species": ["Cd", "Rh", "Bi", "Bi", "Ba"], "frac_coords": [[0.000, 0.000, 0.500], [0.000, 0.000, 0.000], [0.000, 0.500, 0.000], [0.500, 0.000, 0.000], [0.500, 0.500, 0.500]]}

***

# 3
{"formula": "Be2ReHg", "functional": "PBE", "state": "optimized geometry", "space_group": "Pm", "energy_ev_per_atom": -4.644, "formation_energy_ev_per_atom": 0.406, "lattice": [[3.967, 0.000, 0.000], [0.000, 2.728, -0.002], [0.000, 1.361, 4.854]], "species": ["Re", "Hg", "Be", "Be"], "frac_coords": [[0.500, 0.776, 0.821], [0.000, 0.460, 0.457], [0.000, 0.201, 0.973], [0.500, 0.063, 0.249]]}

***

# 4
{"formula": "V5Ru6Rh", "functional": "PBE", "state": "optimized geometry", "space_group": "Immm", "energy_ev_per_atom": -9.280, "formation_energy_ev_per_atom": -0.230, "lattice": [[3.915, 0.017, -1.142], [-0.913, 5.846, -3.044], [-0.010, -0.017, 7.242]], "species": ["Ru", "Ru", "Ru", "Ru", "Ru", "Ru", "Rh", "V", "V", "V", "V", "V"], "frac_coords": [[0.831, 0.559, 0.662], [0.831, 0.102, 0.662], [0.500, 0.717, 0.000], [0.500, 0.283, 0.000], [0.169, 0.898, 0.338], [0.169, 0.441, 0.338], [0.000, 0.000, 0.000], [0.642, 0.142, 0.284], [0.314, 0.314, 0.628], [0.000, 0.500, 0.000], [0.686, 0.686, 0.372], [0.358, 0.858, 0.716]]}

***

# 5
{"formula": "MgInRh", "functional": "PBE", "state": "optimized geometry", "space_group": "C2/c", "energy_ev_per_atom": -4.196, "formation_energy_ev_per_atom": -0.302, "lattice": [[-1.650, -3.729, -4.796], [-3.449, -3.374, 4.043], [-2.453, 7.228, -0.789]], "species": ["Mg", "Mg", "Mg", "Mg", "In", "In", "In", "In", "Rh", "Rh", "Rh", "Rh"], "frac_coords": [[0.163, 0.088, 0.252], [0.162, 0.587, 0.248], [0.413, 0.838, 0.752], [0.912, 0.837, 0.748], [0.659, 0.084, 0.242], [0.409, 0.334, 0.742], [0.666, 0.591, 0.258], [0.916, 0.341, 0.758], [0.537, 0.962, 0.500], [0.788, 0.713, 0.000], [0.038, 0.463, 0.500], [0.287, 0.212, 0.000]]}

***

# 6
{"formula": "NaSr4Pb3", "functional": "PBE", "state": "optimized geometry", "space_group": "R-3m", "energy_ev_per_atom": -2.833, "formation_energy_ev_per_atom": -0.437, "lattice": [[5.630, 0.000, 1.662], [2.570, 5.009, 1.662], [0.044, 0.027, 10.220]], "species": ["Pb", "Pb", "Pb", "Na", "Sr", "Sr", "Sr", "Sr"], "frac_coords": [[0.259, 0.259, 0.222], [0.741, 0.741, 0.778], [0.500, 0.500, 0.500], [0.000, 0.000, 0.000], [0.870, 0.870, 0.391], [0.382, 0.382, 0.854], [0.130, 0.130, 0.609], [0.618, 0.618, 0.146]]}